# GaCu7Au12

Crystalline GaCu7Au12 at its relaxed geometry (PBE, Alexandria via LeMat-Bulk).

```
GaCu7Au12
1.0
5.8516 3.3784 2.7590
-5.8516 3.3784 2.7590
0.0000 -6.7568 2.7590
Ga Cu Au
1 7 12
Cartesian
0.0000 0.0000 0.0000 Ga
-1.7902 -4.9595 3.4455 Cu
-5.1901 -0.9294 4.8316 Cu
-3.4000 4.0301 3.4455 Cu
0.0000 0.0000 4.1385 Cu
3.4000 -4.0301 4.8316 Cu
5.1901 0.9294 3.4455 Cu
1.7902 4.9595 4.8316 Cu
-2.1470 -0.4937 1.9597 Au
-0.7879 -2.4948 3.4258 Au
1.5011 -1.6125 1.9597 Au
-2.5545 -0.5651 4.8513 Au
-1.7666 1.9298 3.4258 Au
0.6459 2.1062 1.9597 Au
-0.6459 -2.1062 6.3174 Au
1.7666 -1.9298 4.8513 Au
2.5545 0.5651 3.4258 Au
-1.5011 1.6125 6.3174 Au
0.7879 2.4948 4.8513 Au
2.1470 0.4937 6.3174 Au
```

## Properties
**N(E_F)**: 7.30 states/eV/cell
**Calculated formation energy**: -5 meV per atom